Entry a
HoAg2Pd5 | GGA-PBE | optimized geometry

Results
- crystal system = tetragonal
- spin magnetization (μB per cell) = 0.0
- theoretical density (g/cm3) = 10.71
- N(E_F) (states/eV/cell) = 11.3

Cell: 7.139 7.139 11.103 Å, 90.00 90.00 90.00°
Space group I4/mcm (No. 140)
Unique sites:
Ho 0.000 0.000 0.250 x4
Ag 0.148 0.352 0.000 x8
Pd 0.000 0.000 0.000 x4
Pd 0.145 0.355 0.334 x16



Entry b
HoAg2Pd5 | GGA-PBE | optimized geometry

Results
- crystal system = tetragonal
- spin magnetization (μB per cell) = 0.0
- theoretical density (g/cm3) = 11.13
- N(E_F) (states/eV/cell) = 9.2

Cell: 4.115 4.115 16.092 Å, 90.00 90.00 90.00°
Space group I4/mmm (No. 139)
Unique sites:
Ho 0.000 0.000 0.000 x2
Ag 0.000 0.000 0.251 x4
Pd 0.000 0.000 0.500 x2
Pd 0.000 0.500 0.126 x8



It is entry b that is most stable; the runner-up trails by 15.5 kJ/mol of atoms.



Entry a
Ho4AgPd2 | GGA-PBE | optimized geometry

Results
- crystal system = trigonal
- spin magnetization (μB per cell) = 0.0
- theoretical density (g/cm3) = 9.50
- N(E_F) (states/eV/cell) = 16.4

Cell: 4.9562 4.9562 24.1699 Å, 90.00 90.00 120.00°
Space group R-3m (No. 166, hexagonal axes)
Unique sites:
Ho 0.0000 0.0000 0.1216 x6
Ho 0.0000 0.0000 0.3723 x6
Ag 0.0000 0.0000 0.5000 x3
Pd 0.0000 0.0000 0.2512 x6



Entry b
Ho4AgPd2 | GGA-PBE | optimized geometry

Results
- crystal system = triclinic
- spin magnetization (μB per cell) = 0.0
- theoretical density (g/cm3) = 9.47
- N(E_F) (states/eV/cell) = 12.7

Cell: 7.001 7.082 8.369 Å, 107.82 107.53 106.15°
Space group P1 (No. 1)
Unique sites:
Ho 0.000 0.000 0.000 x1
Ho 0.019 0.519 0.037 x1
Ho 0.056 0.746 0.586 x1
Ho 0.327 0.161 0.476 x1
Ho 0.453 0.641 0.879 x1
Ho 0.489 0.680 0.452 x1
Ho 0.593 0.281 0.159 x1
Ho 0.869 0.204 0.561 x1
Ag 0.576 0.068 0.786 x1
Ag 0.809 0.801 0.252 x1
Pd 0.059 0.358 0.330 x1
Pd 0.230 0.217 0.838 x1
Pd 0.411 0.898 0.199 x1
Pd 0.747 0.546 0.707 x1



It is entry b that is most stable; the runner-up trails by 1.5 kJ/mol of atoms.



Entry a
Ho6AgPd5 | GGA-PBE | optimized geometry

Results
- crystal system = monoclinic
- spin magnetization (μB per cell) = 0.0
- theoretical density (g/cm3) = 9.48
- N(E_F) (states/eV/cell) = 15.9

Cell: 7.252 11.329 7.176 Å, 90.00 104.38 90.00°
Space group C2/m (No. 12)
Unique sites:
Ho 0.203 0.000 0.211 x4
Ho 0.221 0.177 0.718 x8
Ag 0.000 0.500 0.000 x2
Pd 0.000 0.000 0.500 x2
Pd 0.000 0.199 0.000 x4
Pd 0.000 0.372 0.500 x4



Entry b
Ho6AgPd5 | GGA-PBE | optimized geometry

Results
- crystal system = orthorhombic
- spin magnetization (μB per cell) = 0.0
- theoretical density (g/cm3) = 10.39
- N(E_F) (states/eV/cell) = 18.4

Cell: 4.968 14.838 7.066 Å, 90.00 90.00 90.00°
Space group Cmmm (No. 65)
Unique sites:
Ho 0.000 0.000 0.244 x4
Ho 0.000 0.331 0.248 x8
Ag 0.000 0.500 0.500 x2
Pd 0.000 0.164 0.500 x4
Pd 0.000 0.167 0.000 x4
Pd 0.000 0.500 0.000 x2



It is entry b that is most stable; the runner-up trails by 13.3 kJ/mol of atoms.